# 1
DFT (PBE) results for a relaxed Nd2Y5Fe2 crystal.

Values from the calculation:
- D(E_F): 1.40 states/eV/atom
- Final energy: -6.48 eV/atom
- Crystal system: orthorhombic
- E_form: 0.05 eV per atom

The structure in CIF format:
```
data_Nd2Y5Fe2
_chemical_formula_sum 'Nd8 Y20 Fe8'
_cell_length_a 20.330
_cell_length_b 7.076
_cell_length_c 7.062
_cell_angle_alpha 90.00
_cell_angle_beta 90.00
_cell_angle_gamma 90.00
_space_group_name_H-M_alt 'C m c e'
_space_group_IT_number 64
_space_group_name_Hall '-C 2ac 2'
loop_
_atom_site_label
_atom_site_type_symbol
_atom_site_fract_x
_atom_site_fract_y
_atom_site_fract_z
Nd1 Nd 0.232 0.000 0.000
Y1 Y 0.000 0.000 0.000
Y2 Y 0.106 0.181 0.322
Fe1 Fe 0.000 0.108 0.606
```


# 2
DFT (PBE) results for a relaxed Li3Ce3PtS8 crystal.

Values from the calculation:
- D(E_F): 1.19 states/eV/atom
- Final energy: -5.58 eV/atom
- Crystal system: trigonal
- Uncorrected formation energy: -1.409 eV/atom

The structure in CIF format:
```
data_Li3Ce3PtS8
_chemical_formula_sum 'Li9 Ce9 Pt3 S24'
_cell_length_a 7.8466
_cell_length_b 7.8466
_cell_length_c 18.4622
_cell_angle_alpha 90.00
_cell_angle_beta 90.00
_cell_angle_gamma 120.00
_space_group_name_H-M_alt 'R -3 m'
_space_group_IT_number 166
_space_group_name_Hall '-R 3 2"'
loop_
_atom_site_label
_atom_site_type_symbol
_atom_site_fract_x
_atom_site_fract_y
_atom_site_fract_z
Li1 Li 0.0000 0.5000 0.0000
Ce1 Ce 0.0000 0.5000 0.5000
Pt1 Pt 0.0000 0.0000 0.5000
S1 S 0.0000 0.0000 0.2529
S2 S 0.0330 0.5165 0.2468
```


# 3
DFT (PBE) results for a relaxed RbBa2Ti crystal.

Values from the calculation:
- D(E_F): 2.38 states/eV/atom
- Final energy: -2.32 eV/atom
- Crystal system: tetragonal
- Energy relative to the lowest polymorph listed for this composition: 27 meV per atom
- E_form: 0.85 eV per atom

The structure in CIF format:
```
data_RbBa2Ti
_chemical_formula_sum 'Rb4 Ba8 Ti4'
_cell_length_a 10.403
_cell_length_b 10.403
_cell_length_c 8.273
_cell_angle_alpha 90.00
_cell_angle_beta 90.00
_cell_angle_gamma 90.00
_space_group_name_H-M_alt 'I -4 2 d'
_space_group_IT_number 122
_space_group_name_Hall 'I -4 2bw'
loop_
_atom_site_label
_atom_site_type_symbol
_atom_site_fract_x
_atom_site_fract_y
_atom_site_fract_z
Rb1 Rb 0.000 0.000 0.000
Ba1 Ba 0.200 0.750 0.625
Ti1 Ti 0.000 0.000 0.500
```


# 4
DFT (PBE) results for a relaxed MnInAsN crystal.

Values from the calculation:
- D(E_F): 0.24 states/eV/atom
- Final energy: -6.13 eV/atom
- Crystal system: trigonal
- Uncorrected formation energy: 0.091 eV/atom

The structure in CIF format:
```
data_MnInAsN
_chemical_formula_sum 'Mn1 In1 As1 N1'
_cell_length_a 3.6493
_cell_length_b 3.6493
_cell_length_c 6.6113
_cell_angle_alpha 90.00
_cell_angle_beta 90.00
_cell_angle_gamma 120.00
_space_group_name_H-M_alt 'P 3 m 1'
_space_group_IT_number 156
loop_
_space_group_symop_operation_xyz
'x,y,z'
'-y,x-y,z'
'-x+y,-x,z'
'-y,-x,z'
'-x+y,y,z'
'x,x-y,z'
loop_
_atom_site_label
_atom_site_type_symbol
_atom_site_fract_x
_atom_site_fract_y
_atom_site_fract_z
Mn1 Mn 0.0000 0.0000 0.0000
In1 In 0.6667 0.3333 0.3999
As1 As 0.6667 0.3333 0.8107
N1 N 0.0000 0.0000 0.2949
```


# 5
DFT (PBE) results for a relaxed TcPt4Rh3 crystal.

Values from the calculation:
- D(E_F): 1.55 states/eV/atom
- Final energy: -7.13 eV/atom
- Crystal system: tetragonal
- Energy relative to the lowest polymorph listed for this composition: 0 meV per atom
- E_form: -0.06 eV per atom

The structure in CIF format:
```
data_TcPt4Rh3
_chemical_formula_sum 'Tc2 Pt8 Rh6'
_cell_length_a 3.906
_cell_length_b 3.906
_cell_length_c 15.641
_cell_angle_alpha 90.00
_cell_angle_beta 90.00
_cell_angle_gamma 90.00
_space_group_name_H-M_alt 'I 4/m m m'
_space_group_IT_number 139
_space_group_name_Hall '-I 4 2'
loop_
_atom_site_label
_atom_site_type_symbol
_atom_site_fract_x
_atom_site_fract_y
_atom_site_fract_z
Tc1 Tc 0.000 0.000 0.000
Pt1 Pt 0.000 0.500 0.123
Rh1 Rh 0.000 0.000 0.252
Rh2 Rh 0.000 0.000 0.500
```


# 6
DFT (PBE) results for a relaxed PPdW2 crystal.

Values from the calculation:
- D(E_F): 0.76 states/eV/atom
- Final energy: -8.00 eV/atom
- Crystal system: tetragonal
- E_form: 1.13 eV per atom

The structure in CIF format:
```
data_PPdW2
_chemical_formula_sum 'P4 Pd4 W8'
_cell_length_a 5.701
_cell_length_b 5.701
_cell_length_c 10.427
_cell_angle_alpha 90.00
_cell_angle_beta 90.00
_cell_angle_gamma 90.00
_space_group_name_H-M_alt 'I -4 2 d'
_space_group_IT_number 122
_space_group_name_Hall 'I -4 2bw'
loop_
_atom_site_label
_atom_site_type_symbol
_atom_site_fract_x
_atom_site_fract_y
_atom_site_fract_z
P1 P 0.000 0.000 0.000
Pd1 Pd 0.000 0.000 0.500
W1 W 0.235 0.250 0.125
```


# 7
DFT (PBE) results for a relaxed CaScSb2 crystal.

Values from the calculation:
- D(E_F): 0.64 states/eV/atom
- Final energy: -4.84 eV/atom
- Crystal system: orthorhombic
- Energy relative to the lowest polymorph listed for this composition: 150 meV per atom
- Uncorrected formation energy: -0.694 eV/atom

The structure in CIF format:
```
data_CaScSb2
_chemical_formula_sum 'Ca2 Sc2 Sb4'
_cell_length_a 4.542
_cell_length_b 5.836
_cell_length_c 8.118
_cell_angle_alpha 90.00
_cell_angle_beta 90.00
_cell_angle_gamma 90.00
_space_group_name_H-M_alt 'I m m m'
_space_group_IT_number 71
_space_group_name_Hall '-I 2 2'
loop_
_atom_site_label
_atom_site_type_symbol
_atom_site_fract_x
_atom_site_fract_y
_atom_site_fract_z
Ca1 Ca 0.000 0.000 0.000
Sc1 Sc 0.000 0.000 0.500
Sb1 Sb 0.000 0.500 0.238
```


# 8
DFT (PBE) results for a relaxed PPt3 crystal.

Values from the calculation:
- D(E_F): 0.62 states/eV/atom
- Final energy: -6.13 eV/atom
- Crystal system: orthorhombic
- Energy relative to the lowest polymorph listed for this composition: 0 meV per atom
- E_form: -0.25 eV per atom

The structure in CIF format:
```
data_PPt3
_chemical_formula_sum 'P4 Pt12'
_cell_length_a 5.191
_cell_length_b 7.904
_cell_length_c 6.033
_cell_angle_alpha 90.00
_cell_angle_beta 90.00
_cell_angle_gamma 90.00
_space_group_name_H-M_alt 'P n m a'
_space_group_IT_number 62
loop_
_space_group_symop_operation_xyz
'x,y,z'
'-x,-y,-z'
'-x+1/2,-y,z+1/2'
'x+1/2,y,-z+1/2'
'x+1/2,-y+1/2,-z+1/2'
'-x+1/2,y+1/2,z+1/2'
'-x,y+1/2,-z'
'x,-y+1/2,z'
loop_
_atom_site_label
_atom_site_type_symbol
_atom_site_fract_x
_atom_site_fract_y
_atom_site_fract_z
P1 P 0.149 0.250 0.063
Pt1 Pt 0.008 0.250 0.663
Pt2 Pt 0.193 0.564 0.850
```